# Sr10Nb5N5O14, optimized geometry, DFT GGA-PBEsol
data_Sr10Nb5N5O14
_chemical_formula_sum 'Sr20 Nb10 N10 O28'
_cell_length_a 12.6833
_cell_length_b 12.5828
_cell_length_c 8.9858
_cell_angle_alpha 90.00
_cell_angle_beta 134.28
_cell_angle_gamma 90.00
_symmetry_space_group_name_H-M 'C 1 2/m 1'
_symmetry_Int_Tables_number 12
loop_
_symmetry_equiv_pos_as_xyz
'x,y,z'
'-x,-y,-z'
'-x,y,-z'
'x,-y,z'
'x+1/2,y+1/2,z'
'-x+1/2,-y+1/2,-z'
'-x+1/2,y+1/2,-z'
'x+1/2,-y+1/2,z'
loop_
_atom_site_label
_atom_site_fract_x
_atom_site_fract_y
_atom_site_fract_z
Sr1 0.0000 0.1426 0.0000
Sr2 0.0986 0.3569 0.4032
Sr3 0.2026 0.1467 0.7993
Nb1 0.0000 0.5000 0.0000
Nb2 0.0986 0.0000 0.3992
Nb3 0.2001 0.5000 0.8015
N1 0.0000 0.5000 0.5000
N2 0.1049 0.0000 0.8908
N3 0.2066 0.5000 0.2979
O1 0.0000 0.3363 0.0000
O2 0.0881 0.1613 0.4119
O3 0.0908 0.5000 0.8862
O4 0.1920 0.0000 0.2947
O5 0.2076 0.3388 0.7949
# - Theoretical density: 5.288 g/cm3
# - Size of the total moment: 0.03 μB per atom
# - Total DFT energy (no corrections): -0.578 Ry per atom
# - DOS at the Fermi energy: 0.049 states/eV per atom